Computed, not measured: crystalline Nb2PdI at its relaxed geometry at the PBE level of DFT.

Formation energy from raw total energies = 0.989 eV per atom
Energy relative to the lowest polymorph listed for this composition = 642 meV per atom
Density = 6322 kg/m3

a b c (Å): 5.9628 5.9628 12.3847
angles (deg): 90.00 90.00 90.00
Space group I-42d (No. 122)
Symmetry-distinct sites (fractional):
1 Nb 0.2066 0.2500 0.1250 (multiplicity 8)
2 Pd 0.0000 0.0000 0.0000 (multiplicity 4)
3 I 0.0000 0.0000 0.5000 (multiplicity 4)

---

Computed, not measured: crystalline BaSiSb2Os at its relaxed geometry at the PBE level of DFT.

Formation energy from raw total energies = 0.538 eV per atom
Density = 6402 kg/m3

a b c (Å): 5.0915 5.0915 5.9953
angles (deg): 90.00 90.00 90.00
Space group P4/mmm (No. 123)
Symmetry-distinct sites (fractional):
1 Ba 0.0000 0.0000 0.0000 (multiplicity 1)
2 Si 0.5000 0.5000 0.0000 (multiplicity 1)
3 Sb 0.0000 0.5000 0.5000 (multiplicity 2)
4 Os 0.0000 0.0000 0.5000 (multiplicity 1)

---

Computed, not measured: crystalline TeRhNF2 at its relaxed geometry at the PBE level of DFT.

Formation energy from raw total energies = 0.310 eV per atom
Energy relative to the lowest polymorph listed for this composition = 351 meV per atom
Density = 5706 kg/m3

a b c (Å): 4.4441 4.4441 4.1630
angles (deg): 90.00 90.00 90.00
Space group P4/mmm (No. 123)
Symmetry-distinct sites (fractional):
1 Te 0.0000 0.0000 0.0000 (multiplicity 1)
2 Rh 0.5000 0.5000 0.5000 (multiplicity 1)
3 N 0.0000 0.0000 0.5000 (multiplicity 1)
4 F 0.0000 0.5000 0.0000 (multiplicity 2)

---

Computed, not measured: crystalline LaAgSeBr2 at its relaxed geometry at the PBE level of DFT.

Formation energy from raw total energies = -0.705 eV per atom
Energy relative to the lowest polymorph listed for this composition = 185 meV per atom
Density = 5514 kg/m3

a b c (Å): 5.2210 5.2210 5.3639
angles (deg): 90.00 90.00 90.00
Space group P4/mmm (No. 123)
Symmetry-distinct sites (fractional):
1 La 0.0000 0.0000 0.0000 (multiplicity 1)
2 Ag 0.5000 0.5000 0.5000 (multiplicity 1)
3 Se 0.5000 0.5000 0.0000 (multiplicity 1)
4 Br 0.0000 0.5000 0.5000 (multiplicity 2)